(1)
First-principles (PBE) data for AcNbN3 after structural relaxation, as listed in the Alexandria database.

## Properties
Total DFT energy (no corrections) in eV/atom: -8.72
Uncorrected formation energy in eV per atom: -0.89
Symmetry: No. 221
Magnetic moment in Bohr magnetons per cell: 0.5

Cell: 4.166 4.166 4.166 Å, 90.00 90.00 90.00°
Site moments in Bohr magnetons follow the coordinates.
Positions (direct):
Ac 0.500 0.500 0.500  0.01
Nb 0.000 0.000 0.000  -0.06
N 0.000 0.500 0.000  0.13
N 0.000 0.000 0.500  0.13
N 0.500 0.000 0.000  0.13

(2)
First-principles (PBE) data for Tc2HgW after structural relaxation, as listed in the Alexandria database.

## Properties
Total DFT energy (no corrections) in eV/atom: -8.03
Symmetry: No. 8
Magnetic moment in Bohr magnetons per cell: 0.0
DFT formation energy in eV/atom: 0.47

Cell: 4.993 4.993 4.808 Å, 78.70 78.70 33.95°
Positions (direct):
Hg 0.252 0.252 0.247
Tc 0.012 0.012 0.969
Tc 0.746 0.746 0.753
W 0.490 0.490 0.531

Number 1: calculated volume 72.3 Å³/f.u.. Number 2: calculated volume 65.5 Å³/f.u..